(1)
Computed, not measured: crystalline Dy3Pu2NpN6 at its relaxed geometry at the PBE level of DFT.

a b c (Å): 6.020 6.020 5.989
angles (deg): 99.64 99.64 120.02
Last column: magnetic moment on the atom in μB.
Positions (direct):
Dy: 0.168 0.832 0.500  0.13
Dy: 0.832 0.168 0.500  0.13
Dy: 0.500 0.500 0.500  0.13
N: 0.406 0.080 0.240  -0.14
N: 0.920 0.594 0.760  -0.14
N: 0.594 0.920 0.760  -0.14
N: 0.754 0.754 0.239  -0.14
N: 0.246 0.246 0.761  -0.14
N: 0.080 0.406 0.240  -0.14
Pu: 0.667 0.333 0.000  4.74
Pu: 0.333 0.667 0.000  4.74
Np: 0.000 0.000 0.000  3.06

Values from the calculation:
Electronic total energy in eV per atom: -10.23
ΔE_f (raw) in eV/atom: -1.45

***

(2)
Computed, not measured: crystalline Tb3Zn2Au6 at its relaxed geometry at the PBE level of DFT.

a b c (Å): 4.316 4.316 12.937
angles (deg): 99.60 99.60 90.00
Positions (direct):
Au: 0.104 0.604 0.208
Au: 0.896 0.396 0.792
Au: 0.604 0.104 0.208
Au: 0.396 0.896 0.792
Au: 0.315 0.315 0.630
Au: 0.685 0.685 0.370
Tb: 0.801 0.801 0.603
Tb: 0.199 0.199 0.397
Tb: 0.000 0.000 0.000
Zn: 0.453 0.453 0.906
Zn: 0.547 0.547 0.094

Values from the calculation:
Electronic total energy in eV per atom: -3.88
Energy of formation from the pure elements in eV/atom: -0.60

***

(3)
Computed, not measured: crystalline RbTi2Se4 at its relaxed geometry at the PBE level of DFT.

a b c (Å): 3.670 6.211 9.172
angles (deg): 108.59 101.54 90.00
Last column: magnetic moment on the atom in μB.
Positions (direct):
Rb: 0.500 0.500 0.000  0.00
Se: 0.161 0.500 0.322  -0.01
Se: 0.341 0.998 0.682  -0.01
Se: 0.839 0.500 0.678  -0.01
Se: 0.659 0.002 0.318  -0.01
Ti: 0.250 0.244 0.500  0.14
Ti: 0.750 0.756 0.500  0.14

Values from the calculation:
Electronic total energy in eV per atom: -5.60
ΔE_f (raw) in eV/atom: -1.22

***

(4)
Computed, not measured: crystalline YCu4Se at its relaxed geometry at the PBE level of DFT.

a b c (Å): 5.134 5.134 5.134
angles (deg): 60.00 60.00 60.00
Positions (direct):
Y: 0.000 0.000 0.000
Cu: 0.875 0.375 0.375
Cu: 0.375 0.375 0.375
Cu: 0.375 0.875 0.375
Cu: 0.375 0.375 0.875
Se: 0.750 0.750 0.750

Values from the calculation:
Electronic total energy in eV per atom: -4.58
ΔE_f (raw) in eV/atom: -0.19

***

(5)
Computed, not measured: crystalline TaMnSi2 at its relaxed geometry at the PBE level of DFT.

a b c (Å): 8.229 8.229 8.229
angles (deg): 19.78 19.78 19.78
Last column: magnetic moment on the atom in μB.
Positions (direct):
Mn: 0.750 0.750 0.750  1.00
Si: 0.010 0.010 0.010  -0.02
Si: 0.490 0.490 0.490  -0.02
Ta: 0.250 0.250 0.250  0.04

Values from the calculation:
Electronic total energy in eV per atom: -8.06
ΔE_f (raw) in eV/atom: -0.09

***

(6)
Computed, not measured: crystalline Nb3CdN at its relaxed geometry at the PBE level of DFT.

a b c (Å): 4.321 4.321 4.321
angles (deg): 90.00 90.00 90.00
Positions (direct):
Cd: 0.500 0.500 0.500
Nb: 0.000 0.500 0.000
Nb: 0.500 0.000 0.000
Nb: 0.000 0.000 0.500
N: 0.000 0.000 0.000

Values from the calculation:
Electronic total energy in eV per atom: -8.23
ΔE_f (raw) in eV/atom: -0.34

***

(7)
Computed, not measured: crystalline KPr2AuS4 at its relaxed geometry at the PBE level of DFT.

a b c (Å): 4.165 7.296 14.461
angles (deg): 90.00 90.00 106.58
Positions (direct):
Pr: 0.632 0.265 0.434
Pr: 0.632 0.265 0.066
Pr: 0.368 0.735 0.566
Pr: 0.368 0.735 0.934
S: 0.000 0.000 0.500
S: 0.265 0.530 0.108
S: 0.554 0.107 0.250
S: 0.735 0.470 0.892
S: 0.000 0.000 0.000
S: 0.446 0.893 0.750
S: 0.265 0.530 0.392
S: 0.735 0.470 0.608
Au: 0.156 0.312 0.250
Au: 0.844 0.688 0.750
K: 0.117 0.234 0.750
K: 0.883 0.766 0.250

Values from the calculation:
Electronic total energy in eV per atom: -5.35
ΔE_f (raw) in eV/atom: -1.54

***

(8)
Computed, not measured: crystalline TiAgPS2 at its relaxed geometry at the PBE level of DFT.

a b c (Å): 4.743 4.743 4.719
angles (deg): 90.00 90.00 90.00
Last column: magnetic moment on the atom in μB.
Positions (direct):
Ti: 0.500 0.500 0.500  0.08
P: 0.000 0.000 0.500  0.02
Ag: 0.000 0.000 0.000  0.00
S: 0.000 0.500 0.000  -0.02
S: 0.500 0.000 0.000  -0.02

Values from the calculation:
Electronic total energy in eV per atom: -4.06
ΔE_f (raw) in eV/atom: 0.83

***

(9)
Computed, not measured: crystalline CsKCd2 at its relaxed geometry at the PBE level of DFT.

a b c (Å): 6.406 6.406 6.406
angles (deg): 60.00 60.00 60.00
Positions (direct):
K: 0.000 0.000 0.000
Cd: 0.750 0.750 0.750
Cd: 0.250 0.250 0.250
Cs: 0.500 0.500 0.500

Values from the calculation:
Electronic total energy in eV per atom: -0.92
Energy of formation from the pure elements in eV/atom: 0.03

***

(10)
Computed, not measured: crystalline Pu2BeReN5 at its relaxed geometry at the PBE level of DFT.

a b c (Å): 3.240 6.612 9.450
angles (deg): 90.00 90.00 104.18
Last column: magnetic moment on the atom in μB.
Positions (direct):
N: 0.957 0.914 0.522  -0.05
N: 0.497 0.993 0.782  -0.24
N: 0.702 0.405 0.150  -0.14
N: 0.641 0.282 0.508  -0.11
N: 0.304 0.608 0.367  -0.14
N: 0.043 0.086 0.022  -0.05
N: 0.696 0.392 0.867  -0.14
N: 0.503 0.007 0.282  -0.24
N: 0.359 0.718 0.008  -0.11
N: 0.298 0.595 0.650  -0.14
Re: 0.801 0.603 0.509  -0.19
Re: 0.199 0.397 0.009  -0.19
Pu: 0.868 0.736 0.806  4.13
Pu: 0.881 0.763 0.202  4.35
Pu: 0.132 0.264 0.306  4.13
Pu: 0.119 0.237 0.702  4.35
Be: 0.498 0.997 0.976  0.01
Be: 0.502 0.003 0.476  0.01

Values from the calculation:
Electronic total energy in eV per atom: -10.33
ΔE_f (raw) in eV/atom: -0.72

***

(11)
Computed, not measured: crystalline InAuBr2 at its relaxed geometry at the PBE level of DFT.

a b c (Å): 8.921 8.921 8.921
angles (deg): 25.49 25.49 25.49
Positions (direct):
Br: 0.775 0.775 0.775
Br: 0.971 0.971 0.971
Au: 0.241 0.241 0.241
In: 0.513 0.513 0.513

Values from the calculation:
Electronic total energy in eV per atom: -2.75
ΔE_f (raw) in eV/atom: -0.41

***

(12)
Computed, not measured: crystalline Ce5DyRu4 at its relaxed geometry at the PBE level of DFT.

a b c (Å): 6.788 7.950 9.522
angles (deg): 90.00 90.00 90.00
Last column: magnetic moment on the atom in μB.
Positions (direct):
Ce: 0.278 0.767 0.190  0.21
Ce: 0.278 0.767 0.810  0.21
Ce: 0.722 0.733 0.690  0.21
Ce: 0.278 0.233 0.810  0.21
Ce: 0.278 0.233 0.190  0.21
Ce: 0.722 0.733 0.310  0.21
Ce: 0.895 0.500 0.000  0.13
Ce: 0.722 0.267 0.690  0.21
Ce: 0.722 0.267 0.310  0.21
Ce: 0.105 0.000 0.500  0.13
Ru: 0.510 0.322 0.000  -0.04
Ru: 0.510 0.678 0.000  -0.04
Ru: 0.013 0.000 0.246  -0.03
Ru: 0.013 0.000 0.754  -0.03
Ru: 0.987 0.500 0.746  -0.03
Ru: 0.490 0.178 0.500  -0.04
Ru: 0.490 0.822 0.500  -0.04
Ru: 0.987 0.500 0.254  -0.03
Dy: 0.248 0.500 0.500  0.02
Dy: 0.752 0.000 0.000  0.02

Values from the calculation:
Electronic total energy in eV per atom: -7.32
Energy of formation from the pure elements in eV/atom: -0.18

***

(13)
Computed, not measured: crystalline PmDy2YEr2 at its relaxed geometry at the PBE level of DFT.

a b c (Å): 5.614 9.739 6.945
angles (deg): 90.00 90.00 90.00
Positions (direct):
Dy: 0.500 0.833 0.251
Dy: 0.500 0.167 0.749
Dy: 0.000 0.333 0.249
Dy: 0.000 0.667 0.751
Er: 0.000 0.333 0.751
Er: 0.000 0.667 0.249
Er: 0.500 0.167 0.251
Er: 0.500 0.833 0.749
Y: 0.000 0.000 0.500
Y: 0.500 0.500 0.000
Pm: 0.000 0.000 0.000
Pm: 0.500 0.500 0.500

Values from the calculation:
Electronic total energy in eV per atom: -4.85
Energy of formation from the pure elements in eV/atom: 0.07

***

(14)
Computed, not measured: crystalline CaHO2 at its relaxed geometry at the PBE level of DFT.

a b c (Å): 4.870 4.870 4.870
angles (deg): 43.70 43.70 43.70
Last column: magnetic moment on the atom in μB.
Positions (direct):
H: 0.000 0.000 0.000  0.01
O: 0.911 0.911 0.911  0.43
O: 0.089 0.089 0.089  0.43
Ca: 0.500 0.500 0.500  0.00

Values from the calculation:
Electronic total energy in eV per atom: -5.45

***

(15)
Computed, not measured: crystalline Pr8As4Se3Br at its relaxed geometry at the PBE level of DFT.

a b c (Å): 8.579 8.638 8.579
angles (deg): 119.78 120.00 90.00
Positions (direct):
As: 0.000 0.000 0.500
As: 0.500 0.000 0.500
As: 0.500 0.000 0.000
As: 0.000 0.000 0.000
Se: 0.000 0.500 0.500
Se: 0.500 0.500 0.500
Se: 0.500 0.500 0.000
Pr: 0.739 0.232 0.478
Pr: 0.261 0.768 0.007
Pr: 0.739 0.232 0.993
Pr: 0.754 0.761 0.508
Pr: 0.246 0.239 0.492
Pr: 0.254 0.232 0.993
Pr: 0.261 0.768 0.522
Pr: 0.746 0.768 0.007
Br: 0.000 0.500 0.000

Values from the calculation:
Electronic total energy in eV per atom: -5.97
ΔE_f (raw) in eV/atom: -1.66

***

(16)
Computed, not measured: crystalline CsGe2SbI8 at its relaxed geometry at the PBE level of DFT.

a b c (Å): 7.518 8.220 10.627
angles (deg): 71.17 77.22 73.83
Positions (direct):
Ge: 0.449 0.437 0.723
Ge: 0.551 0.563 0.277
I: 0.254 0.794 0.813
I: 0.833 0.288 0.758
I: 0.419 0.267 0.543
I: 0.581 0.733 0.457
I: 0.724 0.772 0.032
I: 0.167 0.712 0.242
I: 0.746 0.206 0.187
I: 0.276 0.228 0.968
Sb: 0.000 0.000 0.000
Cs: 0.000 0.000 0.500

Values from the calculation:
Electronic total energy in eV per atom: -2.69
ΔE_f (raw) in eV/atom: -0.47

***

(17)
Computed, not measured: crystalline AgMoRu2 at its relaxed geometry at the PBE level of DFT.

a b c (Å): 4.694 4.694 4.694
angles (deg): 129.17 129.17 74.73
Positions (direct):
Mo: 0.750 0.250 0.500
Ru: 0.500 0.500 0.000
Ru: 0.000 0.000 0.000
Ag: 0.250 0.750 0.500

Values from the calculation:
Electronic total energy in eV per atom: -7.67
Energy of formation from the pure elements in eV/atom: 0.39